CeScPb: relaxed, PBE.

The space group is P6_3/mmc (No. 194) and the conventional cell measures 5.3158, 5.3158 and 6.4018 Å, with angles of 90.00, 90.00 and 120.00 degrees. The inequivalent atoms are Ce at (0.0000, 0.0000, 0.0000), Sc at (0.3333, 0.6667, 0.2500) and Pb at (0.3333, 0.6667, 0.7500).

The density of states at the Fermi level is 2.077 states/eV per atom. The spin magnetization is 2.2 Bohr magnetons per cell. The final energy is -5.72 eV per atom. The volume comes out at 156.66 Å³ per cell. The value obtained for the formation energy from the elements is -0.392 eV per atom.